1.
First-principles (PBE-GGA) data for a relaxed Pu4SnPt2 crystal, as listed in Alexandria via LeMat-Bulk.

## Properties
Space-group type: P1, No. 1

```
14
Lattice="-5.982 0.956 -1.944 1.537 -6.306 -0.631 -4.507 2.398 7.166" Properties=species:S:1:pos:R:3 pbc="T T T"
Pt -4.412 0.266 5.381
Sn -9.718 3.161 5.234
Pu -2.276 -1.622 4.465
Pu -1.685 -1.951 1.048
Pu -2.543 0.907 2.375
Pu -5.029 -2.890 5.249
Pu -7.192 0.094 4.678
Pt -4.872 -0.921 2.873
Pu -5.398 -2.885 -1.262
Pu -6.551 -3.077 1.834
Pt -2.764 -4.213 -0.199
Pt -4.030 -0.781 0.133
Sn -3.645 -4.070 2.628
Pu -6.689 0.334 0.955
```

=====

2.
First-principles (PBE-GGA) data for a relaxed Pu11Sn9Pt4 crystal, as listed in Alexandria via LeMat-Bulk.

## Properties
Space-group type: Cmmm, No. 65

```
24
Lattice="4.082 0.000 0.000 0.000 11.539 -4.882 0.000 0.046 12.529" Properties=species:S:1:pos:R:3 pbc="T T T"
Pu 0.000 9.734 -2.147
Sn 2.041 10.775 5.285
Pt 2.041 2.852 4.418
Pu 0.000 4.734 -1.232
Pt 2.041 6.402 6.761
Pu 0.000 3.539 2.336
Sn 2.041 9.094 7.831
Pu 0.000 0.728 4.837
Sn 2.041 4.300 8.781
Pu 0.000 8.046 5.311
Pu 0.000 0.000 0.000
Pt 2.041 5.183 0.886
Sn 2.041 9.764 0.503
Sn 2.041 1.821 7.144
Sn 2.041 2.491 -0.183
Pu 0.000 10.857 2.811
Pt 2.041 8.733 3.230
Sn 2.041 0.810 2.362
Sn 2.041 7.285 -1.133
Pu 0.000 6.852 8.879
Pu 0.000 4.305 6.077
Pu 0.000 7.280 1.571
Pu 0.000 1.851 9.794
Sn 2.041 5.793 3.824
```

=====

3.
First-principles (PBE-GGA) data for a relaxed PuSnPt4 crystal, as listed in Alexandria via LeMat-Bulk.

## Properties
Space-group type: F-43m, No. 216

```
6
Lattice="5.424 0.000 0.000 2.712 4.697 0.000 2.712 1.566 4.428" Properties=species:S:1:pos:R:3 pbc="T T T"
Pu 2.712 1.566 1.107
Pt 5.424 3.131 0.553
Pt 6.780 3.914 2.768
Sn 0.000 0.000 0.000
Pt 5.424 1.565 2.768
Pt 4.067 3.914 2.768
```

=====

4.
First-principles (PBE-GGA) data for a relaxed PuSnPt2 crystal, as listed in Alexandria via LeMat-Bulk.

## Properties
Space-group type: P4/mmm, No. 123

```
4
Lattice="3.635 0.000 0.000 0.000 4.748 0.000 0.000 0.000 4.748" Properties=species:S:1:pos:R:3 pbc="T T T"
Sn 1.818 0.000 0.000
Pu 1.818 2.374 2.374
Pt 0.000 2.374 0.000
Pt 0.000 0.000 2.374
```

=====

5.
First-principles (PBE-GGA) data for a relaxed PuSnPt2 crystal, as listed in Alexandria via LeMat-Bulk.

## Properties
Space-group type: P4/mmm, No. 123

```
4
Lattice="3.477 0.000 0.000 0.000 3.477 0.000 0.000 0.000 6.772" Properties=species:S:1:pos:R:3 pbc="T T T"
Pt 0.000 0.000 4.938
Pu 1.739 1.739 0.000
Pt 0.000 0.000 1.834
Sn 1.739 1.739 3.386
```

=====

6.
First-principles (PBE-GGA) data for a relaxed Pu2SnPt2 crystal, as listed in Alexandria via LeMat-Bulk.

## Properties
Space-group type: P4/mbm, No. 127

```
10
Lattice="-1.388 -0.118 3.554 1.798 -7.448 0.454 6.921 1.839 2.764" Properties=species:S:1:pos:R:3 pbc="T T T"
Pt 5.925 -5.319 2.137
Pu 6.240 -3.550 4.369
Pt 6.683 -1.155 2.572
Pu 3.057 -5.618 3.057
Sn 4.359 -2.805 1.609
Pt 2.035 -4.455 0.646
Pu 4.273 -0.109 3.715
Sn 0.000 0.000 0.000
Pu 1.090 -2.178 2.403
Pt 2.793 -0.291 1.081
```

=====

7.
First-principles (PBE-GGA) data for a relaxed Pu4Sn8Pt crystal, as listed in Alexandria via LeMat-Bulk.

## Properties
Space-group type: Pmm2, No. 25

```
13
Lattice="4.461 0.000 0.000 0.000 4.568 0.000 0.000 0.000 16.475" Properties=species:S:1:pos:R:3 pbc="T T T"
Sn 2.231 2.284 0.937
Sn 0.000 0.000 7.710
Pt 0.000 0.000 5.112
Pu 0.000 2.284 10.014
Sn 0.000 0.000 12.432
Sn 2.231 0.000 3.653
Sn 0.000 2.284 15.255
Sn 2.231 2.284 12.536
Pu 0.000 0.000 1.344
Pu 2.231 2.284 6.554
Sn 0.000 2.284 3.660
Pu 2.231 0.000 14.957
Sn 2.231 0.000 9.680
```

=====

8.
First-principles (PBE-GGA) data for a relaxed Pu2Sn5Pt3 crystal, as listed in Alexandria via LeMat-Bulk.

## Properties
Space-group type: Cmc2_1, No. 36

```
20
Lattice="4.418 0.000 -0.753 0.000 6.921 0.000 0.411 0.000 15.757" Properties=species:S:1:pos:R:3 pbc="T T T"
Sn 1.496 6.661 8.780
Sn 0.064 3.910 0.376
Sn 2.549 5.360 1.621
Pu 0.812 5.288 4.768
Sn 0.704 1.940 4.135
Sn 4.125 5.400 10.870
Sn 1.528 3.461 8.968
Pt 3.665 5.080 8.174
Pu 2.352 5.341 13.805
Sn 2.280 1.899 13.384
Pt 4.430 3.459 12.664
Pt 2.881 3.552 3.570
Sn 3.333 3.201 6.225
Pt 1.948 0.091 11.435
Pu 4.017 1.827 10.237
Sn 4.765 0.450 14.629
Sn 3.301 0.000 6.037
Pt 0.399 6.920 2.341
Pu 2.477 1.881 1.200
Pt 1.164 1.619 6.831
```

=====

9.
First-principles (PBE-GGA) data for a relaxed PuSn2Pt crystal, as listed in Alexandria via LeMat-Bulk.

## Properties
Space-group type: R-3m, No. 166

```
4
Lattice="3.367 0.000 0.000 1.684 2.916 0.000 1.684 0.972 10.354" Properties=species:S:1:pos:R:3 pbc="T T T"
Sn 1.684 0.972 7.155
Sn 5.051 2.916 3.200
Pu 0.000 0.000 0.000
Pt 3.367 1.944 5.177
```

=====

10.
First-principles (PBE-GGA) data for a relaxed Pu3SnPt8 crystal, as listed in Alexandria via LeMat-Bulk.

## Properties
Space-group type: R3m, No. 160

```
12
Lattice="-3.618 0.605 -4.029 -4.195 -3.450 -0.436 -7.484 4.330 3.688" Properties=species:S:1:pos:R:3 pbc="T T T"
Pt -4.635 1.478 -1.152
Pt -10.571 0.138 -1.540
Pu -5.839 -1.214 -2.307
Pt -2.817 1.174 0.873
Pu -7.435 4.277 3.635
Pt -2.917 -0.610 -1.157
Pt -8.683 1.633 2.526
Pt -8.394 3.670 0.721
Sn -5.573 2.262 1.660
Pu -7.693 0.790 -0.342
Pt -4.925 -0.560 0.654
Pt -10.501 1.937 0.502
```

=====

11.
First-principles (PBE-GGA) data for a relaxed Pu3SnPt crystal, as listed in Alexandria via LeMat-Bulk.

## Properties
Space-group type: P2_1/c, No. 14

```
20
Lattice="6.903 0.000 0.000 0.000 9.254 -0.162 0.000 -1.709 7.001" Properties=species:S:1:pos:R:3 pbc="T T T"
Pt 3.786 3.489 5.590
Pu 0.814 6.211 2.190
Pt 3.117 4.056 1.248
Pu 4.266 6.815 1.067
Pu 0.376 2.237 1.117
Pu 6.527 5.308 5.721
Sn 1.580 3.283 3.801
Pu 6.088 1.334 4.648
Sn 1.871 8.764 0.220
Sn 5.032 -1.219 6.618
Pu 4.435 7.665 3.396
Pt 6.569 -0.283 2.171
Pu 3.827 1.536 2.302
Pu 2.468 -0.120 3.442
Pu 3.076 6.009 4.536
Sn 5.323 4.262 3.037
Pu 0.984 3.653 6.861
Pu 2.637 0.730 5.771
Pt 0.334 7.829 4.667
Pu 5.919 3.893 -0.023
```

=====

12.
First-principles (PBE-GGA) data for a relaxed TbPuSnPt crystal, as listed in Alexandria via LeMat-Bulk.

## Properties
Space-group type: F-43m, No. 216

```
4
Lattice="-3.317 3.918 -0.669 -1.987 0.937 -4.688 -4.998 -0.971 -0.935" Properties=species:S:1:pos:R:3 pbc="T T T"
Pt -5.151 1.942 -3.146
Pu -2.576 0.971 -1.573
Sn 0.000 0.000 0.000
Tb -7.727 2.913 -4.719
```

=====

Energy of formation from the pure elements, record by record: -397; -554; -611; -527; -518; -780; -346; -511; -34; -738; -401; -605 meV/atom
VASP energy, record by record: -152.38; -231.13; -46.16; -32.52; -32.49; -97.29; -99.88; -143.82; -28.51; -104.18; -220.18; -31.43 eV per cell
Theoretical density, record by record: 16353; 12734; 16825; 15256; 15268; 14722; 10487; 11438; 11049; 17580; 15600; 12131 kg/m3